# 1
An optimized crystal structure of Ag2PtPbS4, computed with PBE.

Cell: 11.045 10.738 5.987 Å, 90.00 90.00 90.00°
Space group Ama2 (No. 40)
One atom of each set of equivalent atoms:
Ag 0.122 0.162 0.000 (multiplicity 8)
Pt 0.250 0.295 0.403 (multiplicity 4)
Pb 0.000 0.000 0.450 (multiplicity 4)
S 0.083 0.295 0.653 (multiplicity 8)
S 0.250 0.082 0.343 (multiplicity 4)
S 0.250 0.496 0.291 (multiplicity 4)

## Properties
Crystal system   orthorhombic
Energy   -128.35 eV for the cell shown
Volume   22.19 Å³/atom

---

# 2
An optimized crystal structure of ZrBe12, computed with PBE.

Cell: 7.479 7.479 4.211 Å, 90.00 90.00 90.00°
Space group I4/mmm (No. 139)
One atom of each set of equivalent atoms:
Zr 0.000 0.000 0.000 (multiplicity 2)
Be 0.000 0.225 0.500 (multiplicity 8)
Be 0.000 0.355 0.000 (multiplicity 8)
Be 0.250 0.250 0.250 (multiplicity 8)

## Properties
Crystal system   tetragonal
Energy   -111.31 eV for the cell shown
Volume   9.06 Å³/atom

---

# 3
An optimized crystal structure of SrLuCuTeSe2, computed with PBE.

Cell: 4.084 14.201 10.876 Å, 90.00 90.00 90.00°
Space group Cmcm (No. 63)
One atom of each set of equivalent atoms:
Sr 0.000 0.223 0.250 (multiplicity 4)
Lu 0.000 0.000 0.000 (multiplicity 4)
Cu 0.000 0.474 0.750 (multiplicity 4)
Te 0.000 0.091 0.750 (multiplicity 4)
Se 0.000 0.371 0.567 (multiplicity 8)

## Properties
Crystal system   orthorhombic
Energy   -113.69 eV for the cell shown
Volume   26.29 Å³/atom

---

# 4
An optimized crystal structure of Er2ThNi9, computed with PBE.

Cell: 4.9583 4.9583 24.3351 Å, 90.00 90.00 120.00°
Space group R-3m (No. 166, hexagonal axes)
One atom of each set of equivalent atoms:
Er 0.0000 0.0000 0.1404 (multiplicity 6)
Th 0.0000 0.0000 0.0000 (multiplicity 3)
Ni 0.0000 0.0000 0.3332 (multiplicity 6)
Ni 0.0000 0.0000 0.5000 (multiplicity 3)
Ni 0.0014 0.5007 0.9164 (multiplicity 18)

## Properties
Crystal system   trigonal
Energy   -216.74 eV for the cell shown
Volume   14.39 Å³/atom